1.
A plane-wave DFT calculation with PBE was carried out for a geometry-optimized La7Dy2Er structure.

Lattice parameters (Å, degrees): 12.2085 17.0623 3.5450 90.00 90.00 90.00
Space group Cmmm (No. 65)
Unique sites:
La 0.0000 0.0000 0.0000 x2
La 0.0000 0.1805 0.5000 x4
La 0.2456 0.1292 0.0000 x8
Dy 0.0000 0.3356 0.0000 x4
Er 0.0000 0.5000 0.5000 x2

Calculated values
- E_form: 0.3320 eV per atom
- Total magnetic moment: 0.0 μB per formula unit

=====

2.
A plane-wave DFT calculation with PBE was carried out for a geometry-optimized La5Dy2Er structure.

Lattice parameters (Å, degrees): 5.7807 17.0273 11.5961 90.00 90.00 90.00
Space group Cmcm (No. 63)
Unique sites:
La 0.0000 0.0479 0.1146 x8
La 0.0000 0.3887 0.7500 x4
La 0.0000 0.4110 0.0863 x8
Dy 0.0000 0.2160 0.5830 x8
Er 0.0000 0.2300 0.2500 x4

Calculated values
- E_form: 0.1284 eV per atom
- Total magnetic moment: 0.0 μB per formula unit

=====

Asked for polymorph energy (0 for the lowest one) across the records above, the calculation gives 0 13 meV per atom in order.
Asked for final energy across the records above, the calculation gives -89.88 -149.51 eV per cell in order.